The following is a GGA-PBEsol calculation of a geometry-optimized Na3TiNi structure, from the Alexandria database.

Results
**Total DFT energy (no corrections)**: -1.99 eV per atom
**D(E_F)**: 3.7343 states/eV/atom

abc: 5.6681 5.6681 5.6681
angles: 90.00 90.00 90.00
Closest atoms and distances in Å follow each position.
Space group Pm-3m (No. 221)
Inequivalent atoms, fractional coordinates:
Na 0.0000 0.0000 0.5000  2 Ti 2.83
Ti 0.0000 0.0000 0.0000  6 Na 2.83
Ni 0.5000 0.5000 0.5000  12 Na 4.01

---

The following is a GGA-PBEsol calculation of a geometry-optimized SbBrN3 structure, from the Alexandria database.

Results
**ΔE_f (raw)**: 1.837 eV per atom
**D(E_F)**: 0.7902 states/eV/atom

abc: 4.0663 4.0663 4.0663
angles: 90.00 90.00 90.00
Closest atoms and distances in Å follow each position.
Space group Pm-3m (No. 221)
Inequivalent atoms, fractional coordinates:
Sb 0.0000 0.0000 0.0000  6 N 2.03
Br 0.5000 0.5000 0.5000  12 N 2.88
N 0.0000 0.0000 0.5000  2 Sb 2.03

---

The following is a GGA-PBEsol calculation of a geometry-optimized AgH2Pb2 structure, from the Alexandria database.

Results
**Total DFT energy (no corrections)**: -3.20 eV per atom
**D(E_F)**: 0.3338 states/eV/atom

abc: 3.5342 3.5342 13.3848
angles: 90.00 90.00 90.00
Closest atoms and distances in Å follow each position.
Space group I4/mmm (No. 139)
Inequivalent atoms, fractional coordinates:
Ag 0.0000 0.0000 0.0000  8 Pb 3.11
H 0.0000 0.5000 0.2500  4 Pb 2.32, 4 H 2.50
Pb 0.0000 0.0000 0.3620  4 H 2.32

---

The following is a GGA-PBEsol calculation of a geometry-optimized SrPtSe2 structure, from the Alexandria database.

Results
**ΔE_f (raw)**: -0.691 eV per atom
**D(E_F)**: 0.1261 states/eV/atom
**Offset from the most stable computed form**: 0.229 eV per atom

abc: 3.9540 7.0725 7.1310
angles: 90.00 90.00 90.00
Closest atoms and distances in Å follow each position.
Space group Cmmm (No. 65)
Inequivalent atoms, fractional coordinates:
Sr 0.0000 0.0000 0.0000  4 Se 2.87
Pt 0.0000 0.0000 0.5000  4 Se 2.47
Se 0.0000 0.5000 0.2921  2 Pt 2.47

---

The following is a GGA-PBEsol calculation of a geometry-optimized CrBBr2 structure, from the Alexandria database.

Results
**ΔE_f (raw)**: 1.075 eV per atom
**D(E_F)**: 0.6785 states/eV/atom

abc: 3.6590 3.6590 23.5875
angles: 90.00 90.00 120.00
Closest atoms and distances in Å follow each position.
Space group R-3m (No. 166, hexagonal axes)
Inequivalent atoms, fractional coordinates:
Cr 0.0000 0.0000 0.0000  2 Br 2.42
B 0.0000 0.0000 0.5000  6 Br 2.60
Br 0.0000 0.0000 0.1025  1 Cr 2.42, 3 B 2.60

---

The following is a GGA-PBEsol calculation of a geometry-optimized Ti3BeIn structure, from the Alexandria database.

Results
**Total DFT energy (no corrections)**: -6.28 eV per atom
**D(E_F)**: 0.8768 states/eV/atom

abc: 4.3829 4.3829 4.3829
angles: 90.00 90.00 90.00
Closest atoms and distances in Å follow each position.
Space group Pm-3m (No. 221)
Inequivalent atoms, fractional coordinates:
Ti 0.0000 0.0000 0.5000  2 Be 2.19
Be 0.0000 0.0000 0.0000  6 Ti 2.19
In 0.5000 0.5000 0.5000  12 Ti 3.10

---

The following is a GGA-PBEsol calculation of a geometry-optimized ZnCuIrW2 structure, from the Alexandria database.

Results
**Total DFT energy (no corrections)**: -7.06 eV per atom
**D(E_F)**: 0.9252 states/eV/atom

abc: 4.4644 4.4644 4.1013
angles: 90.00 90.00 90.00
Closest atoms and distances in Å follow each position.
Space group P4/mmm (No. 123)
Inequivalent atoms, fractional coordinates:
Zn 0.0000 0.0000 0.0000  2 Cu 2.05
Cu 0.0000 0.0000 0.5000  2 Zn 2.05, 4 W 2.23
Ir 0.5000 0.5000 0.0000  8 W 3.03, 4 Zn 3.16
W 0.0000 0.5000 0.5000  2 Cu 2.23

---

The following is a GGA-PBEsol calculation of a geometry-optimized Er2ZrS5 structure, from the Alexandria database.

Results
**ΔE_f (raw)**: -1.950 eV per atom

abc: 11.3661 7.5912 7.1155
angles: 90.00 90.00 90.00
Closest atoms and distances in Å follow each position.
Space group Pnma (No. 62)
Inequivalent atoms, fractional coordinates:
Er 0.1792 0.0029 0.0215  8 S 2.74-2.91
Zr 0.0067 0.7500 0.5799  7 S 2.49-2.68
S 0.0022 0.7500 0.9528  1 Zr 2.65, 4 Er 2.79-2.82
S 0.0961 0.0398 0.6620  2 Zr 2.49-2.62, 2 Er 2.74-2.76
S 0.1818 0.7500 0.3283  1 Zr 2.68, 4 Er 2.81-2.91
S 0.2102 0.2500 0.3067  1 Zr 2.59, 4 Er 2.76-2.79

---

The following is a GGA-PBEsol calculation of a geometry-optimized TlIr2W structure, from the Alexandria database.

Results
**D(E_F)**: 0.9348 states/eV/atom
**Offset from the most stable computed form**: 0.026 eV per atom

abc: 4.0479 4.0479 7.7579
angles: 90.00 90.00 90.00
Closest atoms and distances in Å follow each position.
Space group I4/mmm (No. 139)
Inequivalent atoms, fractional coordinates:
Tl 0.0000 0.0000 0.0000  8 Ir 2.80, 4 W 2.86
Ir 0.0000 0.5000 0.2500  4 Tl 2.80, 4 W 2.80, 4 Ir 2.86
W 0.0000 0.0000 0.5000  8 Ir 2.80, 4 Tl 2.86

---

The following is a GGA-PBEsol calculation of a geometry-optimized FeTe2PI structure, from the Alexandria database.

Results
**ΔE_f (raw)**: 0.730 eV per atom
**D(E_F)**: 1.0325 states/eV/atom

abc: 4.9703 4.9703 4.9736
angles: 90.00 90.00 90.00
Closest atoms and distances in Å follow each position.
Space group P4/mmm (No. 123)
Inequivalent atoms, fractional coordinates:
Fe 0.0000 0.0000 0.0000  4 Te 2.49, 2 I 2.49
Te 0.0000 0.5000 0.0000  2 Fe 2.49
P 0.5000 0.5000 0.5000  4 I 3.51, 8 Te 3.52
I 0.0000 0.0000 0.5000  2 Fe 2.49

---

The following is a GGA-PBEsol calculation of a geometry-optimized Mn2Se2N structure, from the Alexandria database.

Results
**ΔE_f (raw)**: -0.031 eV per atom
**D(E_F)**: 0.8298 states/eV/atom

abc: 4.5603 4.5603 10.0441
angles: 90.00 90.00 90.00
Closest atoms and distances in Å follow each position.
Space group I4/mmm (No. 139)
Inequivalent atoms, fractional coordinates:
Mn 0.0000 0.0000 0.1643  1 N 1.65
Se 0.0000 0.5000 0.2500  4 Mn 2.44
N 0.0000 0.0000 0.0000  2 Mn 1.65

---

The following is a GGA-PBEsol calculation of a geometry-optimized Tl2CuNi structure, from the Alexandria database.

Results
**Total DFT energy (no corrections)**: -3.60 eV per atom
**D(E_F)**: 0.4396 states/eV/atom

abc: 4.5744 4.5958 6.4476
angles: 90.00 90.00 90.00
Closest atoms and distances in Å follow each position.
Space group Cmmm (No. 65)
Inequivalent atoms, fractional coordinates:
Tl 0.0000 0.0000 0.2424  4 Ni 2.77-2.78, 4 Cu 2.83-2.84
Cu 0.0000 0.5000 0.5000  8 Tl 2.83-2.84
Ni 0.0000 0.5000 0.0000  8 Tl 2.77-2.78

---

The following is a GGA-PBEsol calculation of a geometry-optimized ZnAgAu2 structure, from the Alexandria database.

Results
**Total DFT energy (no corrections)**: -3.32 eV per atom
**D(E_F)**: 0.3199 states/eV/atom

abc: 3.8019 4.1005 8.2463
angles: 90.00 90.00 90.00
Closest atoms and distances in Å follow each position.
Space group Imm2 (No. 44)
Inequivalent atoms, fractional coordinates:
Zn 0.0000 0.0000 0.0000  8 Au 2.74-2.97, 4 Ag 2.77-2.95
Ag 0.0000 0.5000 0.7436  4 Zn 2.77-2.95, 8 Au 2.80-2.86
Au 0.0000 0.0000 0.5027  4 Zn 2.80, 4 Au 2.85-2.86, 4 Ag 2.85-2.86
Au 0.0000 0.5000 0.2609  4 Zn 2.74-2.97, 4 Ag 2.80, 4 Au 2.85-2.86

---

Number 1: total magnetization 4.14 Bohr magnetons per cell. Number 2: total magnetization 0.01 Bohr magnetons per cell. Number 3: total magnetization 0.00 Bohr magnetons per cell. Number 4: total magnetization 0.00 Bohr magnetons per cell. Number 5: total magnetization 13.88 Bohr magnetons per cell. Number 6: total magnetization 0.00 Bohr magnetons per cell. Number 7: total magnetization 0.00 Bohr magnetons per cell. Number 8: total magnetization 0.00 Bohr magnetons per cell. Number 9: total magnetization 0.01 Bohr magnetons per cell. Number 10: total magnetization 1.91 Bohr magnetons per cell. Number 11: total magnetization 7.09 Bohr magnetons per cell. Number 12: total magnetization 0.00 Bohr magnetons per cell. Number 13: total magnetization 0.00 Bohr magnetons per cell.